1.
First-principles (PBE-GGA) data for crystalline MnAl2Br at its relaxed geometry, as listed in Alexandria via LeMat-Bulk.

Structure (extended XYZ):
```
4
Lattice="3.0620 0.0000 0.0000 0.0000 4.7260 0.0000 0.0000 0.0000 5.3864" Properties=species:S:1:pos:R:3 pbc="T T T"
Mn 0.0000 0.0000 0.0000
Al 0.0000 2.3630 2.6932
Al 1.5310 0.0000 2.6932
Br 1.5310 2.3630 0.0000
```

Raw formation energy, meV/atom: 321
V, Å³ per atom: 19.49
Offset from the most stable computed form, meV/atom: 277

2.
First-principles (PBE-GGA) data for crystalline Pa3Ir2Ru at its relaxed geometry, as listed in Alexandria via LeMat-Bulk.

Structure (extended XYZ):
```
6
Lattice="-1.9942 1.9942 8.4275 1.9942 -1.9942 8.4275 1.9942 1.9942 -8.4275" Properties=species:S:1:pos:R:3 pbc="T T T"
Pa 0.0000 0.0000 0.0000
Pa 0.0000 0.0000 5.6605
Pa 0.0000 0.0000 11.1945
Ir 0.0000 0.0000 2.8289
Ir 0.0000 0.0000 14.0261
Ru 0.0000 0.0000 8.4275
```

ΔH_f (0 K), eV per atom: -0.737
V, Å³ per atom: 22.34

3.
First-principles (PBE-GGA) data for crystalline Sc3MnPt at its relaxed geometry, as listed in Alexandria via LeMat-Bulk.

Structure (extended XYZ):
```
5
Lattice="5.0696 0.0000 0.0000 0.0000 5.0696 0.0000 0.0000 0.0000 5.0696" Properties=species:S:1:pos:R:3 pbc="T T T"
Sc 0.0000 0.0000 2.5348
Sc 0.0000 2.5348 0.0000
Sc 2.5348 0.0000 0.0000
Mn 2.5348 2.5348 2.5348
Pt 0.0000 0.0000 0.0000
```

ΔH_f (0 K), eV per atom: 0.025
V, Å³ per atom: 26.06
Offset from the most stable computed form, meV/atom: 0

4.
First-principles (PBE-GGA) data for crystalline Tb2TlCd5 at its relaxed geometry, as listed in Alexandria via LeMat-Bulk.

Structure (extended XYZ):
```
16
Lattice="1.8033 -11.2859 0.0000 1.8033 11.2859 0.0000 0.0000 0.0000 10.0299" Properties=species:S:1:pos:R:3 pbc="T T T"
Tb 0.0000 0.0000 0.0000
Tb 0.0000 0.0000 5.0150
Tb 1.8033 7.2355 7.5225
Tb 1.8033 -7.2355 2.5075
Tl 1.8033 1.3063 2.5075
Tl 1.8033 -1.3063 7.5225
Cd 1.8033 6.3754 1.0416
Cd 1.8033 6.3754 3.9734
Cd 1.8033 2.8597 0.0130
Cd 1.8033 2.8597 5.0020
Cd 1.8033 1.6246 7.5225
Cd 1.8033 -1.6246 2.5075
Cd 1.8033 -2.8597 5.0279
Cd 1.8033 -2.8597 10.0170
Cd 1.8033 -6.3754 6.0566
Cd 1.8033 -6.3754 8.9883
```

ΔH_f (0 K), eV per atom: -0.189
V, Å³ per atom: 25.52
Offset from the most stable computed form, meV/atom: 64

5.
First-principles (PBE-GGA) data for crystalline HfB2PPd at its relaxed geometry, as listed in Alexandria via LeMat-Bulk.

Structure (extended XYZ):
```
5
Lattice="3.8873 0.0000 0.0000 0.0000 3.8873 0.0000 0.0000 0.0000 4.9196" Properties=species:S:1:pos:R:3 pbc="T T T"
Hf 0.0000 0.0000 0.0000
B 0.0000 1.9437 2.4598
B 1.9437 0.0000 2.4598
P 0.0000 0.0000 2.4598
Pd 1.9437 1.9437 0.0000
```

ΔH_f (0 K), eV per atom: 0.796
V, Å³ per atom: 14.87

6.
First-principles (PBE-GGA) data for crystalline TaAg2Br at its relaxed geometry, as listed in Alexandria via LeMat-Bulk.

Structure (extended XYZ):
```
4
Lattice="1.5805 -2.5454 0.0000 1.5805 2.5454 0.0000 0.0000 0.0000 9.8353" Properties=species:S:1:pos:R:3 pbc="T T T"
Ta 0.0000 0.0000 0.0000
Ag 1.5805 0.0000 2.3786
Ag 1.5805 0.0000 7.4566
Br 0.0000 0.0000 4.9176
```

Raw formation energy, meV/atom: 332
V, Å³ per atom: 19.78
Offset from the most stable computed form, meV/atom: 120

7.
First-principles (PBE-GGA) data for crystalline CaTa2Fe2 at its relaxed geometry, as listed in Alexandria via LeMat-Bulk.

Structure (extended XYZ):
```
10
Lattice="7.5574 0.0000 0.0000 0.0000 7.5574 0.0000 0.0000 0.0000 2.9576" Properties=species:S:1:pos:R:3 pbc="T T T"
Ca 0.0000 0.0000 0.0000
Ca 3.7787 3.7787 0.0000
Ta 1.0995 2.6792 1.4788
Ta 2.6792 6.4579 1.4788
Ta 4.8782 1.0995 1.4788
Ta 6.4579 4.8782 1.4788
Fe 1.0209 4.7996 0.0000
Fe 2.7578 1.0209 0.0000
Fe 4.7996 6.5365 0.0000
Fe 6.5365 2.7578 0.0000
```

ΔH_f (0 K), eV per atom: 0.223
V, Å³ per atom: 16.89
Offset from the most stable computed form, meV/atom: 111

8.
First-principles (PBE-GGA) data for crystalline NbIr4Rh2 at its relaxed geometry, as listed in Alexandria via LeMat-Bulk.

Structure (extended XYZ):
```
14
Lattice="4.7405 0.0000 0.0000 1.6058 6.6448 0.0000 2.3657 -0.0110 6.8979" Properties=species:S:1:pos:R:3 pbc="T T T"
Nb 0.0000 0.0000 0.0000
Nb 3.1537 2.1733 2.8284
Ir 3.1194 2.2111 5.5151
Ir 3.9592 6.6337 4.1321
Ir 4.7693 4.3647 5.4678
Ir 2.3736 0.0114 1.3784
Ir 5.4968 2.1680 6.8602
Ir 4.7819 0.0345 2.8139
Ir 5.5212 2.2042 1.4272
Ir 7.1560 4.4346 4.1746
Rh 2.3894 4.3990 1.4019
Rh 4.7966 4.4434 2.7590
Rh 4.7402 0.0377 5.4854
Rh 7.1149 4.3659 6.8933
```

ΔH_f (0 K), eV per atom: -0.140
V, Å³ per atom: 15.52

9.
First-principles (PBE-GGA) data for crystalline RbZrCuTe4 at its relaxed geometry, as listed in Alexandria via LeMat-Bulk.

Structure (extended XYZ):
```
14
Lattice="7.2220 0.0000 0.0000 0.0000 6.2365 0.0000 -3.1824 0.0000 9.8550" Properties=species:S:1:pos:R:3 pbc="T T T"
Rb 1.4045 1.5591 0.4169
Rb 2.6351 4.6774 9.4382
Zr 0.1914 1.5591 5.4717
Zr 3.8482 4.6774 4.3833
Cu 0.9995 4.6774 3.4191
Cu 3.0401 1.5591 6.4360
Te -2.0806 3.1497 6.7455
Te -2.0806 6.2050 6.7455
Te 1.2985 4.6774 5.9291
Te 2.7898 4.6774 1.6602
Te 1.2498 1.5591 8.1948
Te 2.7411 1.5591 3.9260
Te 6.1201 0.0315 3.1095
Te 6.1201 3.0868 3.1095
```

Raw formation energy, meV/atom: -602
V, Å³ per atom: 31.70

10.
First-principles (PBE-GGA) data for crystalline RbCd3Pd at its relaxed geometry, as listed in Alexandria via LeMat-Bulk.

Structure (extended XYZ):
```
10
Lattice="-3.6427 5.3017 3.8805 3.6427 -5.3017 3.8805 3.6427 5.3017 -3.8805" Properties=species:S:1:pos:R:3 pbc="T T T"
Rb 0.0000 2.6509 0.6655
Rb 3.6427 2.6509 3.2150
Cd 3.6427 2.6509 -0.5477
Cd 1.8214 4.8769 -1.9403
Cd 1.8214 -0.4249 1.9403
Cd -1.8214 5.7266 1.9403
Cd 1.8214 5.7266 1.9403
Cd 0.0000 2.6509 4.4283
Pd 3.6427 0.0000 0.0000
Pd 0.0000 0.0000 3.8805
```

ΔH_f (0 K), eV per atom: -0.193
V, Å³ per atom: 29.98
Offset from the most stable computed form, meV/atom: 0

11.
First-principles (PBE-GGA) data for crystalline K2Hg3Ge2S8 at its relaxed geometry, as listed in Alexandria via LeMat-Bulk.

Structure (extended XYZ):
```
30
Lattice="19.6216 0.0000 0.0000 0.0000 4.9084 4.3144 0.0000 -4.9084 4.3144" Properties=species:S:1:pos:R:3 pbc="T T T"
K 2.2663 -2.9600 4.3144
K 7.5445 1.9484 4.3144
K 12.0771 -1.9484 4.3144
K 17.3553 2.9600 4.3144
Hg 0.0000 0.0000 3.1871
Hg 4.8251 -0.4520 6.0143
Hg 4.9857 -0.4520 1.6999
Hg 9.8108 0.0000 7.5015
Hg 14.6359 0.4520 1.6999
Hg 14.7965 0.4520 6.0143
Ge 2.6818 2.0514 4.4016
Ge 7.1290 -2.8570 4.4016
Ge 12.4927 2.8570 4.4016
Ge 16.9398 -2.0514 4.4016
S 0.7788 2.2468 3.1641
S 2.4739 0.1799 5.6407
S 2.6000 -0.9994 1.3682
S 4.4900 2.0325 3.1598
S 5.3208 -2.8759 3.1598
S 7.2108 -0.9994 5.6826
S 7.3369 0.1799 1.3263
S 9.0320 -2.6616 3.1641
S 10.5896 2.6616 3.1641
S 12.2848 -0.1799 1.3263
S 12.4109 0.9994 5.6826
S 14.3008 2.8759 3.1598
S 15.1316 -2.0325 3.1598
S 17.0216 0.9994 1.3682
S 17.1477 -0.1799 5.6407
S 18.8428 -2.2468 3.1641
```

Raw formation energy, meV/atom: -535
V, Å³ per atom: 27.70

12.
First-principles (PBE-GGA) data for crystalline AcTeAs2 at its relaxed geometry, as listed in Alexandria via LeMat-Bulk.

Structure (extended XYZ):
```
4
Lattice="4.2060 0.0000 0.0000 0.0000 4.2060 0.0000 0.0000 0.0000 6.2098" Properties=species:S:1:pos:R:3 pbc="T T T"
Ac 0.0000 0.0000 0.0000
Te 0.0000 0.0000 3.1049
As 2.1030 2.1030 1.7693
As 2.1030 2.1030 4.4405
```

Raw formation energy, meV/atom: -400
V, Å³ per atom: 27.46
Offset from the most stable computed form, meV/atom: 222

Q: Number 1 is which compound?
A: MnAl2Br